## Nd3CdIr (GGA-PBE)

Data for crystalline Nd3CdIr at its relaxed geometry.

Cell: 4.265 8.385 9.240 Å, 72.80 76.65 75.26°
Positions (direct):
Ir 0.233 0.627 0.907
Nd 0.404 0.237 0.955
Cd 0.568 0.288 0.576
Nd 0.596 0.763 0.045
Cd 0.432 0.712 0.424
Nd 0.861 0.564 0.714
Ir 0.767 0.373 0.093
Nd 0.828 0.033 0.311
Nd 0.172 0.967 0.689
Nd 0.139 0.436 0.286

Results
ΔH_f (0 K) = -386.7 meV/atom
E above lowest polymorph = 35.7 meV/atom
Magnetic moment = 0.0 μB per formula unit